# ZnAg2HgBi

A geometry-optimized ZnAg2HgBi structure (GGA-PBE, Alexandria via LeMat-Bulk).

Cell: 4.961 4.961 4.980 Å, 90.00 90.00 90.00°
Positions (direct):
Zn  0.000  0.000  0.000
Ag  0.000  0.500  0.000
Ag  0.500  0.000  0.000
Hg  0.000  0.000  0.500
Bi  0.500  0.500  0.500

Calculated values
M_tot	0.00	Bohr magnetons per cell
E_tot	-1.863	eV per atom
ΔH_f (0 K)	369	meV/atom
space group	P4/mmm (123)